(one)
The following is a DFT calculation (PBE) of a geometry-optimized Nd5Y12Ho2 structure.

Structure (POSCAR):
```
Nd5Y12Ho2
1.0
6.622 0.000 0.000
-1.069 9.032 0.000
-1.154 -4.347 10.593
Nd Y Ho
5 12 2
Direct
0.000 0.000 0.000
0.104 0.559 0.890
0.165 0.730 0.483
0.835 0.270 0.517
0.896 0.441 0.110
0.117 0.120 0.730
0.134 0.303 0.306
0.346 0.751 0.211
0.366 0.341 0.038
0.374 0.480 0.636
0.439 0.896 0.821
0.561 0.104 0.179
0.626 0.520 0.364
0.634 0.659 0.962
0.654 0.249 0.789
0.866 0.697 0.694
0.883 0.880 0.270
0.323 0.093 0.462
0.677 0.907 0.538
```

SG = No. 2
Magnetic moment = 0.00 μB per cell

(two)
The following is a DFT calculation (PBE) of a geometry-optimized Nd5Y12Ho2 structure.

Structure (POSCAR):
```
Nd5Y12Ho2
1.0
8.931 -4.598 0.000
8.931 4.598 0.000
-3.817 0.000 7.845
Nd Y Ho
5 12 2
Direct
0.000 0.000 0.000
0.237 0.237 0.795
0.288 0.288 0.275
0.712 0.712 0.725
0.763 0.763 0.205
0.039 0.670 0.591
0.046 0.046 0.682
0.149 0.596 0.044
0.330 0.961 0.409
0.404 0.851 0.956
0.438 0.438 0.780
0.562 0.562 0.220
0.596 0.149 0.044
0.670 0.039 0.591
0.851 0.404 0.956
0.954 0.954 0.318
0.961 0.330 0.409
0.328 0.672 0.500
0.672 0.328 0.500
```

SG = No. 12
Magnetic moment = 0.00 μB per cell

Going by the computed energies, the most stable comes first: (one), (two).

(one)
The following is a DFT calculation (PBE) of a geometry-optimized NdY4Ho3 structure.

Structure (POSCAR):
```
NdY4Ho3
1.0
13.173 -2.827 0.000
13.173 2.827 0.000
-0.007 0.000 3.561
Nd Y Ho
1 4 3
Direct
0.000 0.000 0.000
0.105 0.105 0.501
0.224 0.224 0.499
0.776 0.776 0.501
0.895 0.895 0.499
0.344 0.344 0.000
0.500 0.500 0.500
0.656 0.656 0.000
```

SG = No. 12
Magnetic moment = 0.00 μB per cell

(two)
The following is a DFT calculation (PBE) of a geometry-optimized NdY4Ho3 structure.

Structure (POSCAR):
```
NdY4Ho3
1.0
11.319 0.000 0.000
0.000 7.302 0.000
0.000 0.000 6.305
Nd Y Ho
2 8 6
Direct
0.000 0.124 0.000
0.500 0.876 0.500
0.000 0.374 0.498
0.000 0.626 0.996
0.248 0.626 0.333
0.252 0.374 0.833
0.500 0.374 0.496
0.500 0.626 0.998
0.748 0.374 0.833
0.752 0.626 0.333
0.000 0.875 0.499
0.250 0.125 0.330
0.250 0.875 0.830
0.500 0.125 0.999
0.750 0.125 0.330
0.750 0.875 0.830
```

SG = No. 31
Magnetic moment = 0.00 μB per cell

Going by the computed energies, the most stable comes first: (two), (one).

(one)
The following is a DFT calculation (PBE) of a geometry-optimized Nd3Y8Ho2 structure.

Structure (POSCAR):
```
Nd3Y8Ho2
1.0
10.058 -3.875 0.000
10.058 3.875 0.000
-0.002 0.000 5.700
Nd Y Ho
3 8 2
Direct
0.000 0.000 0.000
0.292 0.708 0.500
0.708 0.292 0.500
0.135 0.135 0.500
0.182 0.600 0.000
0.327 0.327 0.500
0.400 0.818 0.000
0.600 0.182 0.000
0.673 0.673 0.500
0.818 0.400 0.000
0.865 0.865 0.500
0.241 0.241 0.999
0.759 0.759 0.001
```

SG = No. 12
Magnetic moment = 0.00 μB per cell

(two)
The following is a DFT calculation (PBE) of a geometry-optimized Nd3Y8Ho2 structure.

Structure (POSCAR):
```
Nd3Y8Ho2
1.0
11.491 -3.476 0.000
11.491 3.476 0.000
-1.382 0.000 5.477
Nd Y Ho
3 8 2
Direct
0.000 0.000 0.000
0.274 0.726 0.500
0.726 0.274 0.500
0.108 0.584 0.345
0.189 0.189 0.190
0.416 0.892 0.655
0.425 0.425 0.924
0.575 0.575 0.076
0.584 0.108 0.345
0.811 0.811 0.810
0.892 0.416 0.655
0.278 0.278 0.777
0.722 0.722 0.223
```

SG = No. 12
Magnetic moment = 0.00 μB per cell

Going by the computed energies, the most stable comes first: (two), (one).